Record 1
BeP2SN: optimized geometry, PBE.

## Properties
Relative energy among the computed polymorphs, eV per atom: 0.407
Magnetic moment, μB per atom: 0.27
Density of states at the Fermi level, states/eV/cell: 3.18
Energy relative to the elements, uncorrected, meV per atom: 1595
Crystal system: tetragonal

Structure (extended XYZ):
```
5
Lattice="4.2545 0.0000 0.0000 0.0000 4.2545 0.0000 0.0000 0.0000 4.0433" Properties=species:S:1:pos:R:3 pbc="T T T"
P 0.0000 2.1272 0.0000
P 2.1272 0.0000 0.0000
S 0.0000 0.0000 2.0216
Be 0.0000 0.0000 0.0000
N 2.1272 2.1272 2.0216
```

=====

Record 2
BePSe2N: optimized geometry, PBE.

## Properties
Relative energy among the computed polymorphs, eV per atom: 0.000
Magnetic moment, μB per atom: 0.00
Density of states at the Fermi level, states/eV/cell: 4.44
Energy relative to the elements, uncorrected, meV per atom: 682
Crystal system: tetragonal

Structure (extended XYZ):
```
5
Lattice="-4.1829 0.8333 2.3811 0.3337 -4.3872 2.1216 1.6045 1.2701 2.3741" Properties=species:S:1:pos:R:3 pbc="T T T"
P -1.1224 -1.1419 3.4384
Be 0.0000 0.0000 0.0000
Se 0.1668 -2.1936 1.0608
Se -2.0914 0.4167 1.1905
N 0.8022 0.6351 1.1871
```

=====

Record 3
BePSe2N: optimized geometry, PBE.

## Properties
Relative energy among the computed polymorphs, eV per atom: 0.053
Magnetic moment, μB per atom: 0.00
Density of states at the Fermi level, states/eV/cell: 1.67
Energy relative to the elements, uncorrected, meV per atom: 735
Crystal system: tetragonal

Structure (extended XYZ):
```
5
Lattice="4.9827 0.0000 0.0000 0.0000 4.9827 0.0000 0.0000 0.0000 3.2144" Properties=species:S:1:pos:R:3 pbc="T T T"
P 0.0000 0.0000 0.0000
Be 2.4914 2.4914 1.6072
Se 0.0000 2.4914 0.0000
Se 2.4914 0.0000 0.0000
N 0.0000 0.0000 1.6072
```

=====

Record 4
Sr2BePN: optimized geometry, PBE.

## Properties
Magnetic moment, μB per atom: 0.00
Energy relative to the elements, uncorrected, meV per atom: -951
Crystal system: monoclinic

Structure (extended XYZ):
```
10
Lattice="3.8477 0.0000 0.0000 0.0000 6.5288 0.0301 0.0000 -2.7645 8.0290" Properties=species:S:1:pos:R:3 pbc="T T T"
Sr 2.8858 3.5414 4.9488
Sr 2.8858 5.0346 0.3171
Sr 0.9619 0.2229 3.1103
Sr 0.9619 -1.2703 7.7419
Be 0.9619 1.4873 6.0890
Be 2.8858 2.2770 1.9701
P 0.9619 3.4353 2.3787
P 2.8858 0.3291 5.6804
N 0.9619 2.9620 6.6331
N 2.8858 0.8024 1.4260
```

=====

Record 5
BeTePN2: optimized geometry, PBE.

## Properties
Relative energy among the computed polymorphs, eV per atom: 0.510
Magnetic moment, μB per atom: 0.38
Density of states at the Fermi level, states/eV/cell: 2.68
Energy relative to the elements, uncorrected, meV per atom: 1381
Crystal system: tetragonal

Structure (extended XYZ):
```
5
Lattice="-3.3731 -0.9085 -0.6730 0.4326 -2.9935 1.8729 -2.0472 3.3198 5.7791" Properties=species:S:1:pos:R:3 pbc="T T T"
P -2.4938 -0.2911 3.4895
Te -1.0236 1.6599 2.8895
Be 0.0000 0.0000 0.0000
N 0.2163 -1.4968 0.9365
N -1.6865 -0.4543 -0.3365
```

=====

Record 6
BeTe2PN: optimized geometry, PBE.

## Properties
Relative energy among the computed polymorphs, eV per atom: 0.000
Magnetic moment, μB per atom: 0.00
Density of states at the Fermi level, states/eV/cell: 3.74
Energy relative to the elements, uncorrected, meV per atom: 588
Crystal system: tetragonal

Structure (extended XYZ):
```
5
Lattice="5.3681 0.0000 0.0000 0.0000 5.3681 0.0000 0.0000 0.0000 3.1114" Properties=species:S:1:pos:R:3 pbc="T T T"
P 2.6840 2.6840 1.5557
Te 0.0000 2.6840 0.0000
Te 2.6840 0.0000 0.0000
Be 0.0000 0.0000 0.0000
N 0.0000 0.0000 1.5557
```

=====

Record 7
BeTe2PN: optimized geometry, PBE.

## Properties
Relative energy among the computed polymorphs, eV per atom: 0.221
Magnetic moment, μB per atom: 0.00
Density of states at the Fermi level, states/eV/cell: 2.64
Energy relative to the elements, uncorrected, meV per atom: 809
Crystal system: tetragonal

Structure (extended XYZ):
```
5
Lattice="-2.1830 4.7176 1.4207 -2.5304 -2.4068 4.1041 2.5846 0.6086 1.9505" Properties=species:S:1:pos:R:3 pbc="T T T"
P 0.0000 0.0000 0.0000
Te -1.2652 -1.2034 2.0521
Te -1.0915 2.3588 0.7103
Be -1.0644 1.4597 3.7376
N 1.2923 0.3043 0.9753
```

=====

Record 8
BeTePN2: optimized geometry, PBE.

## Properties
Relative energy among the computed polymorphs, eV per atom: 0.000
Magnetic moment, μB per atom: 0.10
Density of states at the Fermi level, states/eV/cell: 1.44
Energy relative to the elements, uncorrected, meV per atom: 871
Crystal system: tetragonal

Structure (extended XYZ):
```
5
Lattice="-2.6562 2.0474 0.5276 -2.1129 -2.5397 -0.7818 -0.1588 -1.9437 6.7439" Properties=species:S:1:pos:R:3 pbc="T T T"
P 0.0000 0.0000 0.0000
Te -0.0794 -0.9719 3.3719
Be -2.4640 -1.2180 3.2448
N -1.0565 -1.2699 -0.3909
N -1.3281 1.0237 0.2638
```